Entry 1:
The following is a DFT calculation (GGA-PBE) of an optimized crystal structure of Na2SnAsSe5.

The structure in CIF format:
```
data_Na2SnAsSe5
_cell_length_a 4.1444
_cell_length_b 18.9163
_cell_length_c 12.5289
_cell_angle_alpha 90.00
_cell_angle_beta 90.00
_cell_angle_gamma 90.00
_symmetry_space_group_name_H-M 'C m c 21'
_symmetry_Int_Tables_number 36
loop_
_symmetry_equiv_pos_as_xyz
'x,y,z'
'-x,-y,z+1/2'
'-x,y,z'
'x,-y,z+1/2'
'x+1/2,y+1/2,z'
'-x+1/2,-y+1/2,z+1/2'
'-x+1/2,y+1/2,z'
'x+1/2,-y+1/2,z+1/2'
loop_
_atom_site_label
_atom_site_type_symbol
_atom_site_fract_x
_atom_site_fract_y
_atom_site_fract_z
Na1 Na 0.0000 0.1051 0.0000
Na2 Na 0.0000 0.1095 0.3266
Sn1 Sn 0.0000 0.2310 0.7118
As1 As 0.0000 0.4292 0.1031
Se1 Se 0.0000 0.0516 0.7067
Se2 Se 0.0000 0.2824 0.3524
Se3 Se 0.0000 0.3052 0.0557
Se4 Se 0.0000 0.3613 0.6633
Se5 Se 0.0000 0.4890 0.9406
```

Computed properties:
The calculated volume is 27.28 Å³ per atom. The total energy is -3.672 eV/atom.

---

Entry 2:
The following is a DFT calculation (GGA-PBE) of an optimized crystal structure of Na2SnAsSe4.

The structure in CIF format:
```
data_Na2SnAsSe4
_cell_length_a 8.1883
_cell_length_b 8.2406
_cell_length_c 11.6616
_cell_angle_alpha 90.00
_cell_angle_beta 90.00
_cell_angle_gamma 90.00
_symmetry_space_group_name_H-M 'I m m a'
_symmetry_Int_Tables_number 74
_symmetry_space_group_name_Hall '-I 2b 2'
loop_
_atom_site_label
_atom_site_type_symbol
_atom_site_fract_x
_atom_site_fract_y
_atom_site_fract_z
Na1 Na 0.0000 0.0000 0.0000
Na2 Na 0.2500 0.2500 0.2500
Sn1 Sn 0.0000 0.0000 0.5000
As1 As 0.2500 0.2500 0.7500
Se1 Se 0.0000 0.0232 0.7469
Se2 Se 0.2447 0.2500 0.5135
```

Computed properties:
The calculated volume is 24.59 Å³ per atom. The total energy is -3.730 eV/atom.

---

Entry 3:
The following is a DFT calculation (GGA-PBE) of an optimized crystal structure of NaSnAsSe3.

The structure in CIF format:
```
data_NaSnAsSe3
_cell_length_a 7.5532
_cell_length_b 3.9304
_cell_length_c 12.7988
_cell_angle_alpha 90.00
_cell_angle_beta 103.37
_cell_angle_gamma 90.00
_symmetry_space_group_name_H-M 'P 1 21/m 1'
_symmetry_Int_Tables_number 11
loop_
_symmetry_equiv_pos_as_xyz
'x,y,z'
'-x,-y,-z'
'-x,y+1/2,-z'
'x,-y+1/2,z'
loop_
_atom_site_label
_atom_site_type_symbol
_atom_site_fract_x
_atom_site_fract_y
_atom_site_fract_z
Na1 Na 0.1258 0.2500 0.1336
Sn1 Sn 0.1441 0.7500 0.6164
As1 As 0.3974 0.2500 0.8725
Se1 Se 0.0324 0.2500 0.7348
Se2 Se 0.2822 0.7500 0.9981
Se3 Se 0.4863 0.7500 0.7506
```

Computed properties:
The calculated volume is 30.81 Å³ per atom. The total energy is -3.867 eV/atom.